This record from the Alexandria database describes an optimized crystal structure of LaCoF3. The functional is PBE+U.

Cell lengths 4.7108, 4.7108, 4.7108 Å; angles 90.00, 90.00, 90.00 degrees
Last column: nearest neighbours and their distance in Å.
Space group Pm-3m (No. 221)
One atom of each set of equivalent atoms:
La: 0.0000 0.0000 0.0000  6 F 2.36
Co: 0.5000 0.5000 0.5000  12 F 3.33
F: 0.0000 0.0000 0.5000  2 La 2.36

## Properties
- Volume: 20.9 A^3/atom
- Offset from the most stable computed form: 0 meV per atom
- Spin magnetization: 2.8 μB/f.u.
- Total DFT energy (no corrections): -5.618 eV/atom